Entry 1:
Material: YTlO2F
Method: DFT, PBE-GGA
State: optimized geometry

## Properties
For the uncorrected formation energy, the calculation gives -11.177 eV/f.u.

```
data_YTlO2F
_chemical_formula_sum 'Y1 Tl1 O2 F1'
_space_group_name_H-M_alt 'P 4/m m m'
_space_group_IT_number 123
_space_group_name_Hall '-P 4 2'
_cell_length_a 4.485
_cell_length_b 4.485
_cell_length_c 4.460
_cell_angle_alpha 90.00
_cell_angle_beta 90.00
_cell_angle_gamma 90.00
loop_
_atom_site_label
_atom_site_type_symbol
_atom_site_fract_x
_atom_site_fract_y
_atom_site_fract_z
Y1 Y 0.000 0.000 0.000
Tl1 Tl 0.500 0.500 0.500
O1 O 0.000 0.500 0.000
F1 F 0.000 0.000 0.500
```

***

Entry 2:
Material: YTlOF2
Method: DFT, PBE-GGA
State: optimized geometry

## Properties
For the uncorrected formation energy, the calculation gives -6.800 eV/f.u. The value obtained for the energy relative to the lowest polymorph listed for this composition is 1527 meV/atom.

```
data_YTlOF2
_chemical_formula_sum 'Y1 Tl1 O1 F2'
_space_group_name_H-M_alt 'P 4/m m m'
_space_group_IT_number 123
_space_group_name_Hall '-P 4 2'
_cell_length_a 4.654
_cell_length_b 4.654
_cell_length_c 4.378
_cell_angle_alpha 90.00
_cell_angle_beta 90.00
_cell_angle_gamma 90.00
loop_
_atom_site_label
_atom_site_type_symbol
_atom_site_fract_x
_atom_site_fract_y
_atom_site_fract_z
Y1 Y 0.000 0.000 0.000
Tl1 Tl 0.500 0.500 0.500
O1 O 0.500 0.500 0.000
F1 F 0.000 0.500 0.500
```

***

Entry 3:
Material: YTlOF2
Method: DFT, PBE-GGA
State: optimized geometry

## Properties
For the uncorrected formation energy, the calculation gives -14.436 eV/f.u. The value obtained for the energy relative to the lowest polymorph listed for this composition is 0 meV/atom.

```
data_YTlOF2
_chemical_formula_sum 'Y1 Tl1 O1 F2'
_space_group_name_H-M_alt 'P 4/m m m'
_space_group_IT_number 123
_space_group_name_Hall '-P 4 2'
_cell_length_a 4.521
_cell_length_b 4.521
_cell_length_c 4.406
_cell_angle_alpha 90.00
_cell_angle_beta 90.00
_cell_angle_gamma 90.00
loop_
_atom_site_label
_atom_site_type_symbol
_atom_site_fract_x
_atom_site_fract_y
_atom_site_fract_z
Y1 Y 0.000 0.000 0.000
Tl1 Tl 0.500 0.500 0.500
O1 O 0.000 0.000 0.500
F1 F 0.000 0.500 0.000
```

***

Entry 4:
Material: YTlO2F
Method: DFT, PBE-GGA
State: optimized geometry

## Properties
For the uncorrected formation energy, the calculation gives -6.276 eV/f.u.

```
data_YTlO2F
_chemical_formula_sum 'Y1 Tl1 O2 F1'
_space_group_name_H-M_alt 'P 4/m m m'
_space_group_IT_number 123
_space_group_name_Hall '-P 4 2'
_cell_length_a 4.371
_cell_length_b 4.371
_cell_length_c 4.415
_cell_angle_alpha 90.00
_cell_angle_beta 90.00
_cell_angle_gamma 90.00
loop_
_atom_site_label
_atom_site_type_symbol
_atom_site_fract_x
_atom_site_fract_y
_atom_site_fract_z
Y1 Y 0.000 0.000 0.000
Tl1 Tl 0.500 0.500 0.500
O1 O 0.000 0.500 0.500
F1 F 0.500 0.500 0.000
```